A geometry-optimized Ta5NbRe2 structure, computed with GGA-PBE.

Computed properties:
Energy relative to the elements in eV/atom: -0.133
VASP energy in eV per atom: -11.91

Geometry as CIF:
```
data_Ta5NbRe2
_cell_length_a 5.546
_cell_length_b 10.966
_cell_length_c 4.577
_cell_angle_alpha 90.00
_cell_angle_beta 90.00
_cell_angle_gamma 90.00
_space_group_name_H-M_alt 'P b a m'
_space_group_IT_number 55
loop_
_space_group_symop_operation_xyz
'x,y,z'
'-x,-y,-z'
'-x,-y,z'
'x,y,-z'
'x+1/2,-y+1/2,-z'
'-x+1/2,y+1/2,z'
'-x+1/2,y+1/2,-z'
'x+1/2,-y+1/2,z'
loop_
_atom_site_label
_atom_site_type_symbol
_atom_site_fract_x
_atom_site_fract_y
_atom_site_fract_z
Ta1 Ta 0.000 0.000 0.000
Ta2 Ta 0.161 0.258 0.000
Ta3 Ta 0.164 0.621 0.500
Nb1 Nb 0.000 0.500 0.000
Re1 Re 0.167 0.880 0.500
```